# 1
Density functional theory data (GGA-PBE) for a geometry-optimized TlSiMo3 structure.

```
TlSiMo3
1.0
4.5545 0.0000 0.0000
0.0000 4.5545 0.0000
0.0000 0.0000 4.5545
Mo Tl Si
3 1 1
Direct
0.0000 0.5000 0.0000
0.5000 0.0000 0.0000
0.0000 0.0000 0.5000
0.5000 0.5000 0.5000
0.0000 0.0000 0.0000
```

**Energy above the most stable polymorph in this dataset**: 0 meV/atom
**Magnetic moment**: 0.000 μB/atom
**Formation energy (no corrections)**: 460.4 kJ/mol of formula units

# 2
Density functional theory data (GGA-PBE) for a geometry-optimized TlSiMo2 structure.

```
TlSiMo2
1.0
8.7657 -0.0250 -0.0147
8.2475 2.9694 -0.0147
8.2475 1.4274 2.6039
Si Mo Tl
1 2 1
Direct
0.2500 0.2500 0.2500
0.5097 0.5097 0.5097
0.9903 0.9903 0.9903
0.7500 0.7500 0.7500
```

**Energy above the most stable polymorph in this dataset**: 207 meV/atom
**Magnetic moment**: 0.000 μB/atom
**Formation energy (no corrections)**: 169.5 kJ/mol of formula units

# 3
Density functional theory data (GGA-PBE) for a geometry-optimized TlSiMo2 structure.

```
TlSiMo2
1.0
0.0000 3.2139 3.2139
3.2139 0.0000 3.2139
3.2139 3.2139 0.0000
Tl Mo Si
1 2 1
Direct
0.5000 0.5000 0.5000
0.7500 0.7500 0.7500
0.2500 0.2500 0.2500
0.0000 0.0000 0.0000
```

**Energy above the most stable polymorph in this dataset**: 352 meV/atom
**Magnetic moment**: 0.000 μB/atom
**Formation energy (no corrections)**: 225.4 kJ/mol of formula units

# 4
Density functional theory data (GGA-PBE) for a geometry-optimized TlSiMo2 structure.

```
TlSiMo2
1.0
-1.4431 4.4269 -0.1058
-3.3843 2.5935 -1.8740
-3.5645 -0.0114 3.9249
Tl Mo Si
1 2 1
Direct
0.2500 0.2500 0.2500
0.0116 0.0116 0.9306
0.4884 0.4884 0.5694
0.7500 0.7500 0.7500
```

**Energy above the most stable polymorph in this dataset**: 204 meV/atom
**Magnetic moment**: 0.000 μB/atom
**Formation energy (no corrections)**: 168.4 kJ/mol of formula units

# 5
Density functional theory data (GGA-PBE) for a geometry-optimized TlSiMo structure.

```
TlSiMo
1.0
4.2329 0.0000 0.0000
-2.1165 3.6658 0.0000
0.0000 0.0000 3.6810
Mo Si Tl
1 1 1
Direct
0.0000 0.0000 0.1665
0.6667 0.3333 0.1669
0.3333 0.6667 0.6666
```

**Energy above the most stable polymorph in this dataset**: 168 meV/atom
**Magnetic moment**: 0.000 μB/atom
**Formation energy (no corrections)**: 136.5 kJ/mol of formula units

# 6
Density functional theory data (GGA-PBE) for a geometry-optimized TlSiMo2 structure.

```
TlSiMo2
1.0
3.9853 0.0000 0.0000
0.0000 3.9853 0.0000
1.9927 1.9927 9.5799
Tl Si Mo
2 2 4
Direct
0.7500 0.2500 0.5000
0.0000 0.0000 0.0000
0.5000 0.5000 0.0000
0.2500 0.7500 0.5000
0.3750 0.4401 0.7500
0.1901 0.6250 0.2500
0.8750 0.8099 0.7500
0.5599 0.1250 0.2500
```

**Energy above the most stable polymorph in this dataset**: 497 meV/atom
**Magnetic moment**: 0.000 μB/atom
**Formation energy (no corrections)**: 281.6 kJ/mol of formula units

# 7
Density functional theory data (GGA-PBE) for a geometry-optimized TlSiMo2 structure.

```
TlSiMo2
1.0
-0.9033 -4.3248 -1.1049
3.5554 -1.3787 2.4898
-1.8950 -0.2589 2.5627
Si Mo Tl
1 2 1
Direct
0.5000 0.0000 0.5000
0.5000 0.5000 0.0000
0.0000 0.0000 0.0000
0.0000 0.5000 0.5000
```

**Energy above the most stable polymorph in this dataset**: 354 meV/atom
**Magnetic moment**: 0.000 μB/atom
**Formation energy (no corrections)**: 226.2 kJ/mol of formula units

# 8
Density functional theory data (GGA-PBE) for a geometry-optimized TlSiMo4 structure.

```
TlSiMo4
1.0
0.0000 3.7456 3.7456
3.7456 0.0000 3.7456
3.7456 3.7456 0.0000
Mo Si Tl
4 1 1
Direct
0.3748 0.3748 0.3748
0.3748 0.3748 0.8755
0.3748 0.8755 0.3748
0.8755 0.3748 0.3748
0.7500 0.7500 0.7500
0.0000 0.0000 0.0000
```

**Magnetic moment**: 0.000 μB/atom
**Formation energy (no corrections)**: 379.6 kJ/mol of formula units

# 9
Density functional theory data (GGA-PBE) for a geometry-optimized TlSiMo2 structure.

```
TlSiMo2
1.0
-0.4584 -4.4081 3.1003
1.9367 -2.5960 4.3316
-2.3767 0.5998 3.7402
Mo Tl Si
2 1 1
Direct
0.7681 0.7681 0.7317
0.0161 0.0161 0.9841
0.2404 0.2404 0.2597
0.4754 0.4754 0.5245
```

**Energy above the most stable polymorph in this dataset**: 240 meV/atom
**Magnetic moment**: 0.000 μB/atom
**Formation energy (no corrections)**: 182.2 kJ/mol of formula units

# 10
Density functional theory data (GGA-PBE) for a geometry-optimized TlSiMo2 structure.

```
TlSiMo2
1.0
4.4763 0.0000 0.0000
0.0000 3.0657 0.0027
0.0000 1.4562 5.2012
Si Tl Mo
1 1 2
Direct
0.0000 0.3802 0.4507
0.5000 0.6947 0.7378
0.5000 0.3592 0.2607
0.0000 0.0658 0.0508
```

**Energy above the most stable polymorph in this dataset**: 225 meV/atom
**Magnetic moment**: 0.000 μB/atom
**Formation energy (no corrections)**: 176.5 kJ/mol of formula units

# 11
Density functional theory data (GGA-PBE) for a geometry-optimized TlSiMo3 structure.

```
TlSiMo3
1.0
-0.0300 -4.6464 -1.7060
2.9597 -1.3843 3.7182
-3.9674 -0.9975 2.7866
Mo Tl Si
3 1 1
Direct
0.5000 0.0000 0.0000
0.0000 0.0000 0.5000
0.0000 0.5000 0.0000
0.0000 0.0000 0.0000
0.5000 0.5000 0.5000
```

**Energy above the most stable polymorph in this dataset**: 1862 meV/atom
**Magnetic moment**: 0.000 μB/atom
**Formation energy (no corrections)**: 1358.5 kJ/mol of formula units

# 12
Density functional theory data (GGA-PBE) for a geometry-optimized TlSiMo2 structure.

```
TlSiMo2
1.0
-1.8521 -4.5299 -1.4174
3.3947 -3.6124 1.1769
-2.8137 3.6222 2.2184
Mo Si Tl
2 1 1
Direct
0.5434 0.5434 0.0000
0.9566 0.9566 0.0000
0.7500 0.2500 0.5000
0.2500 0.7500 0.5000
```

**Energy above the most stable polymorph in this dataset**: 174 meV/atom
**Magnetic moment**: 0.000 μB/atom
**Formation energy (no corrections)**: 156.7 kJ/mol of formula units

# 13
Density functional theory data (GGA-PBE) for a geometry-optimized TmSi2Mo2 structure.

```
TmSi2Mo2
1.0
-4.0772 1.7692 3.8064
-1.3569 -1.3040 -5.5408
1.6245 -6.4260 2.5855
Mo Si Tm
4 4 2
Direct
0.7272 0.9769 0.4530
0.4769 0.2272 0.9530
0.5231 0.7728 0.0470
0.2728 0.0231 0.5470
0.8363 0.6637 0.2500
0.5865 0.9135 0.7500
0.1637 0.3363 0.7500
0.4135 0.0865 0.2500
0.1247 0.3753 0.2500
0.8753 0.6247 0.7500
```

**Magnetic moment**: 0.000 μB/atom
**Formation energy (no corrections)**: -95.3 kJ/mol of formula units

# 14
Density functional theory data (GGA-PBE) for a geometry-optimized TmSi2Mo structure.

```
TmSi2Mo
1.0
3.5811 0.0000 0.0000
1.7905 3.1013 0.0000
1.7905 1.0338 6.7214
Si Tm Mo
2 1 1
Direct
0.2613 0.2613 0.2161
0.7387 0.7387 0.7839
0.5000 0.5000 0.5000
0.0000 0.0000 0.0000
```

**Magnetic moment**: 0.000 μB/atom
**Formation energy (no corrections)**: -105.8 kJ/mol of formula units

# 15
Density functional theory data (GGA-PBE) for a geometry-optimized USi2Mo2 structure.

```
USi2Mo2
1.0
-2.0533 1.1504 -3.5043
5.0941 -3.2871 -1.5213
-3.7554 -5.9363 0.2516
Si Mo U
4 4 2
Direct
0.9634 0.9268 0.0490
0.2333 0.4666 0.6346
0.0366 0.0732 0.5490
0.7667 0.5334 0.1346
0.3296 0.6593 0.9499
0.6704 0.3407 0.4499
0.1482 0.2964 0.2235
0.8518 0.7036 0.7235
0.5852 0.1705 0.8474
0.4148 0.8295 0.3474
```

**Magnetic moment**: 0.367 μB/atom
**Formation energy (no corrections)**: -125.3 kJ/mol of formula units